Record 1
CsRb2Ca2: optimized geometry, PBE-GGA.

Lattice parameters (Å, degrees): 11.1219 11.1219 11.1219 147.73 147.73 46.28
With the nearest neighbours (Å) after each atom.
Element x y z (fractional)
1 Cs 0.0000 0.0000 0.0000  8 Ca 4.76
2 Rb 0.2500 0.7500 0.5000  4 Rb 4.37, 4 Ca 4.47
3 Rb 0.7500 0.2500 0.5000  4 Rb 4.37, 4 Ca 4.47
4 Ca 0.4080 0.4080 0.0000  1 Ca 3.76
5 Ca 0.5920 0.5920 0.0000  1 Ca 3.76

Summary:
Energy relative to the lowest polymorph listed for this composition = 0.55 eV per formula unit
E_tot = -1.018 eV per atom
ΔE_f = 0.34 eV per atom

Record 2
CsRbCa: optimized geometry, PBE-GGA.

Lattice parameters (Å, degrees): 7.5444 7.5444 8.7362 90.06 90.06 60.06
With the nearest neighbours (Å) after each atom.
Element x y z (fractional)
1 Cs 0.1670 0.1670 0.4335  2 Rb 4.32-4.41, 3 Cs 4.51-4.52, 3 Ca 4.66-4.67
2 Cs 0.8330 0.8330 0.5665  2 Rb 4.32-4.41, 3 Cs 4.51-4.52, 3 Ca 4.66-4.67
3 Rb 0.1668 0.1668 0.9386  2 Cs 4.32-4.41, 3 Rb 4.49, 3 Ca 4.63-4.64
4 Rb 0.8332 0.8332 0.0614  2 Cs 4.32-4.41, 3 Rb 4.49, 3 Ca 4.63-4.64
5 Ca 0.5001 0.5001 0.2427  2 Ca 4.24-4.50, 3 Rb 4.63-4.64, 3 Cs 4.66-4.67
6 Ca 0.4999 0.4999 0.7573  2 Ca 4.24-4.50, 3 Rb 4.63-4.64, 3 Cs 4.66-4.67

Summary:
E_tot = -1.063 eV per atom
ΔE_f = 0.21 eV per atom

Record 3
Cs2RbCa2: optimized geometry, PBE-GGA.

Lattice parameters (Å, degrees): 11.2926 11.2926 11.2926 147.84 147.84 46.12
With the nearest neighbours (Å) after each atom.
Element x y z (fractional)
1 Cs 0.2500 0.7500 0.5000  4 Cs 4.42, 4 Ca 4.59
2 Cs 0.7500 0.2500 0.5000  4 Cs 4.42, 4 Ca 4.59
3 Rb 0.0000 0.0000 0.0000  8 Ca 4.79
4 Ca 0.4114 0.4114 0.0000  1 Ca 3.68
5 Ca 0.5886 0.5886 0.0000  1 Ca 3.68

Summary:
Energy relative to the lowest polymorph listed for this composition = 0.53 eV per formula unit
E_tot = -0.963 eV per atom
ΔE_f = 0.37 eV per atom

Record 4
CsRbCa3: optimized geometry, PBE-GGA.

Lattice parameters (Å, degrees): 7.2388 7.2388 7.2388 90.00 90.00 90.00
With the nearest neighbours (Å) after each atom.
Element x y z (fractional)
1 Cs 0.0000 0.0000 0.0000  12 Ca 5.12
2 Rb 0.5000 0.5000 0.5000  6 Ca 3.62
3 Ca 0.0000 0.5000 0.5000  2 Rb 3.62
4 Ca 0.5000 0.0000 0.5000  2 Rb 3.62
5 Ca 0.5000 0.5000 0.0000  2 Rb 3.62

Summary:
E_tot = -0.864 eV per atom
ΔE_f = 0.70 eV per atom

Record 5
Cs2RbCa: optimized geometry, PBE-GGA.

Lattice parameters (Å, degrees): 17.6676 17.6676 17.6676 15.17 15.17 15.17
With the nearest neighbours (Å) after each atom.
Element x y z (fractional)
1 Cs 0.0813 0.0813 0.0813  1 Ca 4.26, 6 Cs 4.66
2 Cs 0.9187 0.9187 0.9187  1 Ca 4.26, 6 Cs 4.66
3 Rb 0.5000 0.5000 0.5000  6 Rb 4.66, 6 Cs 5.22
4 Ca 0.0000 0.0000 0.0000  2 Cs 4.26, 6 Ca 4.66

Summary:
Energy relative to the lowest polymorph listed for this composition = 0.35 eV per formula unit
E_tot = -0.918 eV per atom
ΔE_f = 0.25 eV per atom

Record 6
Cs2RbCa2: optimized geometry, PBE-GGA.

Lattice parameters (Å, degrees): 12.8995 12.8995 4.5438 90.00 90.00 90.00
With the nearest neighbours (Å) after each atom.
Element x y z (fractional)
1 Cs 0.1840 0.3160 0.0000  6 Ca 4.46-4.49, 2 Cs 4.54
2 Cs 0.3160 0.8160 0.0000  6 Ca 4.46-4.49, 2 Cs 4.54
3 Cs 0.6840 0.1840 0.0000  6 Ca 4.46-4.49, 2 Cs 4.54
4 Cs 0.8160 0.6840 0.0000  6 Ca 4.46-4.49, 2 Cs 4.54
5 Rb 0.0000 0.0000 0.5000  2 Rb 4.54
6 Rb 0.5000 0.5000 0.5000  2 Rb 4.54
7 Ca 0.1054 0.6054 0.5000  1 Ca 3.85
8 Ca 0.3946 0.1054 0.5000  1 Ca 3.85
9 Ca 0.6054 0.8946 0.5000  1 Ca 3.85
10 Ca 0.8946 0.3946 0.5000  1 Ca 3.85

Summary:
Energy relative to the lowest polymorph listed for this composition = 0.00 eV per formula unit
E_tot = -1.070 eV per atom
ΔE_f = 0.27 eV per atom

Record 7
Cs3RbCa: optimized geometry, PBE-GGA.

Lattice parameters (Å, degrees): 8.4186 8.4186 8.4186 90.00 90.00 90.00
With the nearest neighbours (Å) after each atom.
Element x y z (fractional)
1 Cs 0.0000 0.0000 0.5000  2 Ca 4.21
2 Cs 0.0000 0.5000 0.0000  2 Ca 4.21
3 Cs 0.5000 0.0000 0.0000  2 Ca 4.21
4 Rb 0.5000 0.5000 0.5000  12 Cs 5.95
5 Ca 0.0000 0.0000 0.0000  6 Cs 4.21

Summary:
Energy relative to the lowest polymorph listed for this composition = 0.00 eV per formula unit
E_tot = -0.814 eV per atom
ΔE_f = 0.29 eV per atom

Record 8
Cs2Rb2Ca: optimized geometry, PBE-GGA.

Lattice parameters (Å, degrees): 12.2302 12.2302 5.9188 90.00 90.00 90.00
With the nearest neighbours (Å) after each atom.
Element x y z (fractional)
1 Cs 0.1387 0.3613 0.0000  6 Rb 4.43-4.82, 2 Ca 4.73, 1 Cs 4.80
2 Cs 0.3613 0.8613 0.0000  6 Rb 4.43-4.82, 2 Ca 4.73, 1 Cs 4.80
3 Cs 0.6387 0.1387 0.0000  6 Rb 4.43-4.82, 2 Ca 4.73, 1 Cs 4.80
4 Cs 0.8613 0.6387 0.0000  6 Rb 4.43-4.82, 2 Ca 4.73, 1 Cs 4.80
5 Rb 0.1706 0.6706 0.5000  6 Cs 4.43-4.82
6 Rb 0.3294 0.1706 0.5000  6 Cs 4.43-4.82
7 Rb 0.6706 0.8294 0.5000  6 Cs 4.43-4.82
8 Rb 0.8294 0.3294 0.5000  6 Cs 4.43-4.82
9 Ca 0.0000 0.0000 0.0000  4 Cs 4.73
10 Ca 0.5000 0.5000 0.0000  4 Cs 4.73

Summary:
Energy relative to the lowest polymorph listed for this composition = 0.20 eV per formula unit
E_tot = -0.885 eV per atom
ΔE_f = 0.24 eV per atom

Record 9
Cs2Rb2Ca: optimized geometry, PBE-GGA.

Lattice parameters (Å, degrees): 13.8408 13.8408 13.8408 154.99 154.99 35.66
With the nearest neighbours (Å) after each atom.
Element x y z (fractional)
1 Cs 0.0904 0.0904 0.0000  1 Cs 4.76, 4 Ca 4.86, 4 Rb 5.16
2 Cs 0.9096 0.9096 0.0000  1 Cs 4.76, 4 Ca 4.86, 4 Rb 5.16
3 Rb 0.2500 0.7500 0.5000  4 Rb 4.24
4 Rb 0.7500 0.2500 0.5000  4 Rb 4.24
5 Ca 0.5000 0.5000 0.0000  8 Cs 4.86

Summary:
Energy relative to the lowest polymorph listed for this composition = 0.23 eV per formula unit
E_tot = -0.878 eV per atom
ΔE_f = 0.25 eV per atom

Record 10
Cs2RbCa: optimized geometry, PBE-GGA.

Lattice parameters (Å, degrees): 7.7722 7.7722 7.7722 60.00 60.00 60.00
With the nearest neighbours (Å) after each atom.
Element x y z (fractional)
1 Cs 0.2500 0.2500 0.2500  4 Ca 4.76, 4 Rb 4.76
2 Cs 0.7500 0.7500 0.7500  4 Ca 4.76, 4 Rb 4.76
3 Rb 0.0000 0.0000 0.0000  8 Cs 4.76
4 Ca 0.5000 0.5000 0.5000  8 Cs 4.76

Summary:
Energy relative to the lowest polymorph listed for this composition = 0.09 eV per formula unit
E_tot = -0.985 eV per atom
ΔE_f = 0.18 eV per atom

Record 11
Cs3RbCa: optimized geometry, PBE-GGA.

Lattice parameters (Å, degrees): 8.3105 8.3105 8.3105 90.00 90.00 90.00
With the nearest neighbours (Å) after each atom.
Element x y z (fractional)
1 Cs 0.0000 0.0000 0.5000  2 Rb 4.16
2 Cs 0.0000 0.5000 0.0000  2 Rb 4.16
3 Cs 0.5000 0.0000 0.0000  2 Rb 4.16
4 Rb 0.0000 0.0000 0.0000  6 Cs 4.16
5 Ca 0.5000 0.5000 0.5000  12 Cs 5.88

Summary:
Energy relative to the lowest polymorph listed for this composition = 0.60 eV per formula unit
E_tot = -0.694 eV per atom
ΔE_f = 0.41 eV per atom

Record 12
Cs2RbCa2: optimized geometry, PBE-GGA.

Lattice parameters (Å, degrees): 13.0410 13.0410 4.4328 90.00 90.00 90.00
With the nearest neighbours (Å) after each atom.
Element x y z (fractional)
1 Cs 0.1834 0.3166 0.0000  2 Cs 4.43, 6 Ca 4.48-4.49, 2 Rb 4.77
2 Cs 0.3166 0.8166 0.0000  2 Cs 4.43, 6 Ca 4.48-4.49, 2 Rb 4.77
3 Cs 0.6834 0.1834 0.0000  2 Cs 4.43, 6 Ca 4.48-4.49, 2 Rb 4.77
4 Cs 0.8166 0.6834 0.0000  2 Cs 4.43, 6 Ca 4.48-4.49, 2 Rb 4.77
5 Rb 0.0000 0.0000 0.0000  2 Rb 4.43, 4 Cs 4.77
6 Rb 0.5000 0.5000 0.0000  2 Rb 4.43, 4 Cs 4.77
7 Ca 0.1048 0.6048 0.5000  1 Ca 3.87
8 Ca 0.3952 0.1048 0.5000  1 Ca 3.87
9 Ca 0.6048 0.8952 0.5000  1 Ca 3.87
10 Ca 0.8952 0.3952 0.5000  1 Ca 3.87

Summary:
Energy relative to the lowest polymorph listed for this composition = 0.08 eV per formula unit
E_tot = -1.054 eV per atom
ΔE_f = 0.28 eV per atom

Record 13
CsRbSr2Ca: optimized geometry, PBE-GGA.

Lattice parameters (Å, degrees): 7.4422 7.4422 7.1897 90.00 90.00 90.00
With the nearest neighbours (Å) after each atom.
Element x y z (fractional)
1 Cs 0.0000 0.0000 0.0000  2 Rb 3.59
2 Rb 0.0000 0.0000 0.5000  2 Cs 3.59, 4 Sr 3.72
3 Sr 0.0000 0.5000 0.5000  2 Rb 3.72
4 Sr 0.5000 0.0000 0.5000  2 Rb 3.72
5 Ca 0.5000 0.5000 0.0000  8 Sr 5.17, 4 Cs 5.26

Summary:
E_tot = -0.770 eV per atom
ΔE_f = 0.67 eV per atom

Record 14
CsRb2CaTl: optimized geometry, PBE-GGA.

Lattice parameters (Å, degrees): 7.3543 7.3543 6.3468 90.00 90.00 90.00
With the nearest neighbours (Å) after each atom.
Element x y z (fractional)
1 Cs 0.0000 0.0000 0.0000  8 Rb 4.86, 4 Ca 5.20
2 Rb 0.0000 0.5000 0.5000  2 Tl 3.68
3 Rb 0.5000 0.0000 0.5000  2 Tl 3.68
4 Ca 0.5000 0.5000 0.0000  2 Tl 3.17
5 Tl 0.5000 0.5000 0.5000  2 Ca 3.17

Summary:
E_tot = -1.374 eV per atom
ΔE_f = 0.06 eV per atom

Record 15
CsCa2Re: optimized geometry, PBE-GGA.

Lattice parameters (Å, degrees): 8.3019 8.3019 8.3019 119.96 119.96 90.08
With the nearest neighbours (Å) after each atom.
Element x y z (fractional)
1 Cs 0.0000 0.0000 0.0000  12 Ca 4.86-4.88, 4 Cs 5.08, 4 Re 5.08
2 Cs 0.7500 0.2500 0.5000  12 Ca 4.86-4.88, 4 Re 5.08, 4 Cs 5.08
3 Ca 0.3742 0.6250 0.2492  2 Re 2.54
4 Ca 0.3750 0.6242 0.7492  2 Re 2.54
5 Ca 0.3758 0.1250 0.7508  2 Re 2.54
6 Ca 0.8750 0.6258 0.2508  2 Re 2.54
7 Re 0.2500 0.7500 0.5000  4 Ca 2.54
8 Re 0.5000 0.5000 0.0000  4 Ca 2.54

Summary:
E_tot = -3.007 eV per atom
ΔE_f = 1.32 eV per atom

Record 16
CsCa2TiRe: optimized geometry, PBE-GGA.

Lattice parameters (Å, degrees): 5.8696 5.8696 6.0699 90.00 90.00 90.00
With the nearest neighbours (Å) after each atom.
Element x y z (fractional)
1 Cs 0.0000 0.0000 0.0000  2 Ti 3.03
2 Ca 0.0000 0.5000 0.5000  2 Ti 2.93
3 Ca 0.5000 0.0000 0.5000  2 Ti 2.93
4 Ti 0.0000 0.0000 0.5000  4 Ca 2.93, 2 Cs 3.03
5 Re 0.5000 0.5000 0.0000  4 Cs 4.15, 8 Ca 4.22

Summary:
E_tot = -2.995 eV per atom
ΔE_f = 2.04 eV per atom

Record 17
CsCa2VRe: optimized geometry, PBE-GGA.

Lattice parameters (Å, degrees): 5.6587 5.6587 5.0872 90.00 90.00 90.00
With the nearest neighbours (Å) after each atom.
Element x y z (fractional)
1 Cs 0.0000 0.0000 0.0000  2 Re 2.54, 4 Ca 2.83
2 Ca 0.0000 0.5000 0.0000  2 Cs 2.83
3 Ca 0.5000 0.0000 0.0000  2 Cs 2.83
4 V 0.5000 0.5000 0.5000  8 Ca 3.80, 4 Re 4.00
5 Re 0.0000 0.0000 0.5000  2 Cs 2.54

Summary:
E_tot = -3.026 eV per atom
ΔE_f = 2.26 eV per atom

Record 18
Cs2Ca2Rh: optimized geometry, PBE-GGA.

Lattice parameters (Å, degrees): 7.7549 7.7549 7.3697 90.00 90.00 90.00
With the nearest neighbours (Å) after each atom.
Element x y z (fractional)
1 Cs 0.1942 0.3058 0.0000  2 Ca 3.91, 5 Cs 3.97-4.26
2 Cs 0.3058 0.8058 0.0000  2 Ca 3.91, 5 Cs 3.97-4.26
3 Cs 0.6942 0.1942 0.0000  2 Ca 3.91, 5 Cs 3.97-4.26
4 Cs 0.8058 0.6942 0.0000  2 Ca 3.91, 5 Cs 3.97-4.26
5 Ca 0.1865 0.6865 0.5000  2 Rh 2.83
6 Ca 0.3135 0.1865 0.5000  2 Rh 2.83
7 Ca 0.6865 0.8135 0.5000  2 Rh 2.83
8 Ca 0.8135 0.3135 0.5000  2 Rh 2.83
9 Rh 0.0000 0.0000 0.5000  4 Ca 2.83
10 Rh 0.5000 0.5000 0.5000  4 Ca 2.83

Summary:
E_tot = -2.428 eV per atom
ΔE_f = 0.18 eV per atom

Record 19
Cs2Ca4Rh: optimized geometry, PBE-GGA.

Lattice parameters (Å, degrees): 12.5849 12.5849 12.5849 153.58 153.58 37.71
With the nearest neighbours (Å) after each atom.
Element x y z (fractional)
1 Cs 0.1816 0.1816 0.0000  4 Ca 4.40
2 Cs 0.8184 0.8184 0.0000  4 Ca 4.40
3 Ca 0.0000 0.5000 0.5000  2 Rh 2.88
4 Ca 0.3888 0.3888 0.0000  1 Rh 2.65
5 Ca 0.5000 0.0000 0.5000  2 Rh 2.88
6 Ca 0.6112 0.6112 0.0000  1 Rh 2.65
7 Rh 0.5000 0.5000 0.0000  6 Ca 2.65-2.88

Summary:
E_tot = -2.462 eV per atom
ΔE_f = -0.02 eV per atom

Record 20
CsCa2Rh2: optimized geometry, PBE-GGA.

Lattice parameters (Å, degrees): 7.2876 7.2876 7.2876 140.07 140.07 57.75
With the nearest neighbours (Å) after each atom.
Element x y z (fractional)
1 Cs 0.0000 0.0000 0.0000  8 Rh 4.05, 10 Ca 4.07-4.33
2 Ca 0.3395 0.3395 0.0000  4 Rh 2.74
3 Ca 0.6605 0.6605 0.0000  4 Rh 2.74
4 Rh 0.2500 0.7500 0.5000  4 Ca 2.74
5 Rh 0.7500 0.2500 0.5000  4 Ca 2.74

Summary:
Energy relative to the lowest polymorph listed for this composition = 0.73 eV per formula unit
E_tot = -3.690 eV per atom
ΔE_f = 0.22 eV per atom